No. 1
{"formula": "Lu4FeSnN2", "functional": "GGA-PBE", "state": "optimized geometry", "lattice_angstrom": [[3.3719, 0.0000, 0.0000], [-1.6859, 2.9201, 0.0000], [0.0000, 0.0000, 14.3875]], "species": ["Lu", "Lu", "Lu", "Lu", "Fe", "Sn", "N", "N"], "frac_coords": [[0.0000, 0.0000, 0.1346], [0.0000, 0.0000, 0.8654], [0.3333, 0.6667, 0.3227], [0.3333, 0.6667, 0.6773], [0.3333, 0.6667, 0.0000], [0.0000, 0.0000, 0.5000], [0.6667, 0.3333, 0.2437], [0.6667, 0.3333, 0.7563]], "total_energy_ev_per_atom": -6.8107}


No. 2
{"formula": "Lu4TlFeN2", "functional": "GGA-PBE", "state": "optimized geometry", "lattice_angstrom": [[3.3762, 0.0000, 0.0000], [-1.6881, 2.9239, 0.0000], [0.0000, 0.0000, 14.7995]], "species": ["Lu", "Lu", "Lu", "Lu", "Tl", "Fe", "N", "N"], "frac_coords": [[0.0000, 0.0000, 0.1387], [0.0000, 0.0000, 0.8613], [0.3333, 0.6667, 0.3210], [0.3333, 0.6667, 0.6790], [0.0000, 0.0000, 0.5000], [0.3333, 0.6667, 0.0000], [0.6667, 0.3333, 0.2417], [0.6667, 0.3333, 0.7583]], "e_above_lowest_polymorph_kcal_per_mol_atoms": 0.00, "total_energy_ev_per_atom": -6.5299}


No. 3
{"formula": "Lu4TlFeN2", "functional": "GGA-PBE", "state": "optimized geometry", "lattice_angstrom": [[3.3721, 0.0000, 0.0000], [-1.6860, 2.9203, 0.0000], [0.0000, 0.0000, 14.5320]], "species": ["Lu", "Lu", "Lu", "Lu", "Tl", "Fe", "N", "N"], "frac_coords": [[0.0000, 0.0000, 0.1339], [0.0000, 0.0000, 0.8661], [0.6667, 0.3333, 0.3206], [0.6667, 0.3333, 0.6794], [0.0000, 0.0000, 0.5000], [0.6667, 0.3333, 0.0000], [0.3333, 0.6667, 0.2416], [0.3333, 0.6667, 0.7584]], "e_above_lowest_polymorph_kcal_per_mol_atoms": 0.14, "total_energy_ev_per_atom": -6.5237}


No. 4
{"formula": "Y2Lu4Fe3N3", "functional": "GGA-PBE", "state": "optimized geometry", "lattice_angstrom": [[4.9580, -2.8574, 0.0000], [4.9580, 2.8574, 0.0000], [-3.4898, 0.0000, 14.1577]], "species": ["Y", "Y", "Y", "Y", "Lu", "Lu", "Lu", "Lu", "Lu", "Lu", "Lu", "Lu", "Fe", "Fe", "Fe", "Fe", "Fe", "Fe", "N", "N", "N", "N", "N", "N"], "frac_coords": [[0.0414, 0.8760, 0.6194], [0.1240, 0.9586, 0.8806], [0.8760, 0.0414, 0.1194], [0.9586, 0.1240, 0.3806], [0.1971, 0.3593, 0.0894], [0.2970, 0.4752, 0.4105], [0.3593, 0.1971, 0.5894], [0.4752, 0.2970, 0.9105], [0.5248, 0.7030, 0.0895], [0.6407, 0.8029, 0.4106], [0.7030, 0.5248, 0.5895], [0.8029, 0.6407, 0.9106], [0.0833, 0.4043, 0.7497], [0.4043, 0.0833, 0.2497], [0.4185, 0.5815, 0.2500], [0.5815, 0.4185, 0.7500], [0.5957, 0.9167, 0.7503], [0.9167, 0.5957, 0.2503], [0.0000, 0.5000, 0.5000], [0.1672, 0.6654, 0.9999], [0.3346, 0.8328, 0.5001], [0.5000, 0.0000, 0.0000], [0.6654, 0.1672, 0.4999], [0.8328, 0.3346, 0.0001]], "total_energy_ev_per_atom": -7.4544}


No. 5
{"formula": "Y4Lu2Fe3N3", "functional": "GGA-PBE", "state": "optimized geometry", "lattice_angstrom": [[5.1697, -2.9617, 0.0000], [5.1697, 2.9617, 0.0000], [-3.3893, 0.0000, 14.0735]], "species": ["Y", "Y", "Y", "Y", "Y", "Y", "Y", "Y", "Lu", "Lu", "Lu", "Lu", "Fe", "Fe", "Fe", "Fe", "Fe", "Fe", "N", "N", "N", "N", "N", "N"], "frac_coords": [[0.0302, 0.1996, 0.0954], [0.1348, 0.3014, 0.4027], [0.1996, 0.0302, 0.5954], [0.3014, 0.1348, 0.9027], [0.6986, 0.8652, 0.0973], [0.8004, 0.9698, 0.4046], [0.8652, 0.6986, 0.5973], [0.9698, 0.8004, 0.9046], [0.3762, 0.5265, 0.1017], [0.4735, 0.6238, 0.3983], [0.5265, 0.3762, 0.6017], [0.6238, 0.4735, 0.8983], [0.2085, 0.4032, 0.7500], [0.2463, 0.7537, 0.7500], [0.4032, 0.2085, 0.2500], [0.5968, 0.7915, 0.7500], [0.7537, 0.2463, 0.2500], [0.7915, 0.5968, 0.2500], [0.0000, 0.5000, 0.0000], [0.1826, 0.6562, 0.4959], [0.3438, 0.8174, 0.0041], [0.5000, 0.0000, 0.5000], [0.6562, 0.1826, 0.9959], [0.8174, 0.3438, 0.5041]], "total_energy_ev_per_atom": -7.6879}


No. 6
{"formula": "Lu4ZnFeN2", "functional": "GGA-PBE", "state": "optimized geometry", "lattice_angstrom": [[3.3335, 0.0000, 0.0000], [-1.6668, 2.8869, 0.0000], [0.0000, 0.0000, 14.5397]], "species": ["Lu", "Lu", "Lu", "Lu", "Zn", "Fe", "N", "N"], "frac_coords": [[0.0000, 0.0000, 0.1444], [0.0000, 0.0000, 0.8556], [0.6667, 0.3333, 0.3317], [0.6667, 0.3333, 0.6683], [0.0000, 0.0000, 0.5000], [0.6667, 0.3333, 0.0000], [0.3333, 0.6667, 0.2461], [0.3333, 0.6667, 0.7539]], "e_above_lowest_polymorph_kcal_per_mol_atoms": 0.00, "total_energy_ev_per_atom": -6.3272}


No. 7
{"formula": "Lu2Zr4Fe3N3", "functional": "GGA-PBE", "state": "optimized geometry", "lattice_angstrom": [[4.8511, -2.7992, 0.0000], [4.8511, 2.7992, 0.0000], [-3.3462, 0.0000, 13.2788]], "species": ["Lu", "Lu", "Lu", "Lu", "Zr", "Zr", "Zr", "Zr", "Zr", "Zr", "Zr", "Zr", "Fe", "Fe", "Fe", "Fe", "Fe", "Fe", "N", "N", "N", "N", "N", "N"], "frac_coords": [[0.0414, 0.8749, 0.6192], [0.1251, 0.9586, 0.8808], [0.8749, 0.0414, 0.1192], [0.9586, 0.1251, 0.3808], [0.1977, 0.3636, 0.0958], [0.2972, 0.4720, 0.4042], [0.3636, 0.1977, 0.5958], [0.4720, 0.2972, 0.9042], [0.5280, 0.7028, 0.0958], [0.6364, 0.8023, 0.4042], [0.7028, 0.5280, 0.5958], [0.8023, 0.6364, 0.9042], [0.0853, 0.4053, 0.7501], [0.4053, 0.0853, 0.2501], [0.4235, 0.5765, 0.2500], [0.5765, 0.4235, 0.7500], [0.5947, 0.9147, 0.7499], [0.9147, 0.5947, 0.2499], [0.0000, 0.5000, 0.5000], [0.1643, 0.6711, 0.0001], [0.3289, 0.8357, 0.4999], [0.5000, 0.0000, 0.0000], [0.6711, 0.1643, 0.5001], [0.8357, 0.3289, 0.9999]], "total_energy_ev_per_atom": -8.5574}


No. 8
{"formula": "NaLuFeS3", "functional": "GGA-PBE", "state": "optimized geometry", "lattice_angstrom": [[7.7661, 0.0000, 0.0000], [0.0000, 3.8049, 0.0000], [-2.3156, 0.0000, 8.9472]], "species": ["Na", "Na", "Lu", "Lu", "Fe", "Fe", "S", "S", "S", "S", "S", "S"], "frac_coords": [[0.2219, 0.2500, 0.2532], [0.7781, 0.7500, 0.7468], [0.3250, 0.7500, 0.8547], [0.6750, 0.2500, 0.1453], [0.0728, 0.2500, 0.5904], [0.9272, 0.7500, 0.4096], [0.0781, 0.2500, 0.8380], [0.2276, 0.7500, 0.5415], [0.4367, 0.7500, 0.1505], [0.5633, 0.2500, 0.8495], [0.7724, 0.2500, 0.4585], [0.9219, 0.7500, 0.1620]], "total_energy_ev_per_atom": -5.7001}


No. 9
{"formula": "NaLuFeS3", "functional": "GGA-PBE", "state": "optimized geometry", "lattice_angstrom": [[13.2158, 0.0000, 0.0000], [0.0000, 3.7998, 0.0000], [0.0000, 0.0000, 10.4638]], "species": ["Na", "Na", "Na", "Na", "Lu", "Lu", "Lu", "Lu", "Fe", "Fe", "Fe", "Fe", "S", "S", "S", "S", "S", "S", "S", "S", "S", "S", "S", "S"], "frac_coords": [[0.2329, 0.2500, 0.0557], [0.2671, 0.7500, 0.5557], [0.7329, 0.2500, 0.4443], [0.7671, 0.7500, 0.9443], [0.0136, 0.2500, 0.3434], [0.4864, 0.7500, 0.8434], [0.5136, 0.2500, 0.1566], [0.9864, 0.7500, 0.6566], [0.0091, 0.7500, 0.0842], [0.4909, 0.2500, 0.5842], [0.5091, 0.7500, 0.4158], [0.9909, 0.2500, 0.9158], [0.0936, 0.7500, 0.8872], [0.1079, 0.2500, 0.5659], [0.1300, 0.7500, 0.2391], [0.3700, 0.2500, 0.7391], [0.3921, 0.7500, 0.0659], [0.4064, 0.2500, 0.3872], [0.5936, 0.7500, 0.6128], [0.6079, 0.2500, 0.9341], [0.6300, 0.7500, 0.2609], [0.8700, 0.2500, 0.7609], [0.8921, 0.7500, 0.4341], [0.9064, 0.2500, 0.1128]], "total_energy_ev_per_atom": -5.6990}


No. 10
{"formula": "NaLuFeSe3", "functional": "GGA-PBE", "state": "optimized geometry", "lattice_angstrom": [[13.7290, 0.0000, 0.0000], [0.0000, 3.9290, 0.0000], [0.0000, 0.0000, 10.8215]], "species": ["Na", "Na", "Na", "Na", "Lu", "Lu", "Lu", "Lu", "Fe", "Fe", "Fe", "Fe", "Se", "Se", "Se", "Se", "Se", "Se", "Se", "Se", "Se", "Se", "Se", "Se"], "frac_coords": [[0.2292, 0.2500, 0.0504], [0.2708, 0.7500, 0.5504], [0.7292, 0.2500, 0.4496], [0.7708, 0.7500, 0.9496], [0.0147, 0.2500, 0.3432], [0.4853, 0.7500, 0.8432], [0.5147, 0.2500, 0.1568], [0.9853, 0.7500, 0.6568], [0.0095, 0.7500, 0.0811], [0.4905, 0.2500, 0.5811], [0.5095, 0.7500, 0.4189], [0.9905, 0.2500, 0.9189], [0.0995, 0.7500, 0.8833], [0.1107, 0.2500, 0.5676], [0.1345, 0.7500, 0.2386], [0.3655, 0.2500, 0.7386], [0.3893, 0.7500, 0.0676], [0.4005, 0.2500, 0.3833], [0.5995, 0.7500, 0.6167], [0.6107, 0.2500, 0.9324], [0.6345, 0.7500, 0.2614], [0.8655, 0.2500, 0.7614], [0.8893, 0.7500, 0.4324], [0.9005, 0.2500, 0.1167]], "e_above_lowest_polymorph_kcal_per_mol_atoms": 0.00, "total_energy_ev_per_atom": -5.2373}


No. 11
{"formula": "NaLuFeSe3", "functional": "GGA-PBE", "state": "optimized geometry", "lattice_angstrom": [[8.0053, 0.0000, 0.0000], [0.0000, 3.9071, 0.0000], [-2.7503, 0.0000, 9.3323]], "species": ["Na", "Na", "Lu", "Lu", "Fe", "Fe", "Se", "Se", "Se", "Se", "Se", "Se"], "frac_coords": [[0.2365, 0.2500, 0.2731], [0.7635, 0.7500, 0.7269], [0.3221, 0.7500, 0.8540], [0.6779, 0.2500, 0.1460], [0.0698, 0.2500, 0.5872], [0.9302, 0.7500, 0.4128], [0.0682, 0.2500, 0.8349], [0.2429, 0.7500, 0.5434], [0.4322, 0.7500, 0.1510], [0.5678, 0.2500, 0.8490], [0.7571, 0.2500, 0.4566], [0.9318, 0.7500, 0.1651]], "e_above_lowest_polymorph_kcal_per_mol_atoms": 0.06, "total_energy_ev_per_atom": -5.2345}


No. 12
{"formula": "NaLuFeSe3", "functional": "GGA-PBE", "state": "optimized geometry", "lattice_angstrom": [[10.5876, 0.0000, 0.0000], [0.0000, 3.9929, 0.0000], [0.0000, 0.0000, 13.4885]], "species": ["Na", "Na", "Na", "Na", "Lu", "Lu", "Lu", "Lu", "Fe", "Fe", "Fe", "Fe", "Se", "Se", "Se", "Se", "Se", "Se", "Se", "Se", "Se", "Se", "Se", "Se"], "frac_coords": [[0.2197, 0.2500, 0.0049], [0.2803, 0.7500, 0.5049], [0.7197, 0.2500, 0.4951], [0.7803, 0.7500, 0.9951], [0.0170, 0.7500, 0.7430], [0.4830, 0.2500, 0.2430], [0.5170, 0.7500, 0.7570], [0.9830, 0.2500, 0.2570], [0.2344, 0.7500, 0.2207], [0.2656, 0.2500, 0.7207], [0.7344, 0.7500, 0.2793], [0.7656, 0.2500, 0.7793], [0.0470, 0.7500, 0.1193], [0.0883, 0.2500, 0.6091], [0.2355, 0.2500, 0.3297], [0.2645, 0.7500, 0.8297], [0.4117, 0.7500, 0.1091], [0.4530, 0.2500, 0.6193], [0.5470, 0.7500, 0.3807], [0.5883, 0.2500, 0.8909], [0.7355, 0.2500, 0.1703], [0.7645, 0.7500, 0.6703], [0.9117, 0.7500, 0.3909], [0.9530, 0.2500, 0.8807]], "e_above_lowest_polymorph_kcal_per_mol_atoms": 0.75, "total_energy_ev_per_atom": -5.2046}